[1]
The following is a GGA-PBE calculation of a relaxed structure of K2MgAl, from the Alexandria database.

The calculation puts the energy relative to the elements at 0.4219 eV/atom. The value obtained for the total magnetic moment is 0.00 μB per formula unit. Its crystal system is trigonal.

Unit cell a=12.7473 b=12.7473 c=12.7473 alpha=16.14 beta=16.14 gamma=16.14
Sites, in units of the cell vectors:
Al (0.7500, 0.7500, 0.7500)
K (0.0054, 0.0054, 0.0054)
K (0.4946, 0.4946, 0.4946)
Mg (0.2500, 0.2500, 0.2500)

[2]
The following is a GGA-PBE calculation of a relaxed structure of K2MgAl, from the Alexandria database.

The calculation puts the energy relative to the elements at 0.3851 eV/atom. The value obtained for the total magnetic moment is 0.00 μB per formula unit. Its crystal system is monoclinic.

Unit cell a=5.8353 b=3.4934 c=7.6847 alpha=65.61 beta=90.00 gamma=90.00
Sites, in units of the cell vectors:
Al (0.5000, 0.7500, 0.7500)
K (0.0000, 0.0073, 0.9906)
K (0.0000, 0.4927, 0.5094)
Mg (0.5000, 0.2500, 0.2500)

[3]
The following is a GGA-PBE calculation of a relaxed structure of KMgAl2, from the Alexandria database.

The calculation puts the energy relative to the elements at 0.1805 eV/atom. The value obtained for the total magnetic moment is 0.00 μB per formula unit. Its crystal system is monoclinic.

Unit cell a=4.5410 b=3.1077 c=7.7969 alpha=78.01 beta=90.00 gamma=90.00
Sites, in units of the cell vectors:
Al (0.0000, 0.1922, 0.9928)
Al (0.5000, 0.0949, 0.1823)
K (0.0000, 0.4445, 0.4792)
Mg (0.5000, 0.7684, 0.8457)